11
Lattice="4.6533 0.0020 0.0024 -0.7750 5.9047 0.0029 -1.5487 -1.9973 5.4063" Properties=species:S:1:pos:R:3 comment="Cu5Pt6 (GGA-PBEsol, optimized geometry)" vol_a3_per_fu=149 magmom_total_mub_per_cell=0.00 e_above_lowest_polymorph_mev_per_atom=0 formation_enthalpy_0k_ev_per_atom=-0.100 total_energy_ev_per_atom=-5.868 pbc="T T T"
Pt 0.7673 -1.1579 4.4418
Cu 1.5575 1.4543 4.9393
Cu -0.7896 4.1118 1.9405
Cu 1.5698 4.9953 0.9664
Cu -0.7882 2.3186 3.9541
Pt 3.1041 -0.2072 3.4518
Pt 0.7794 2.5917 0.4770
Pt 3.1160 1.6230 1.4642
Pt 0.7723 0.6737 2.4338
Pt 1.5535 3.2003 2.9772
Cu -0.7687 5.8477 0.0146

---

5
Lattice="-0.2459 -4.0531 -0.9534 3.2104 -0.8493 2.7824 -2.8979 -0.5698 3.1698" Properties=species:S:1:pos:R:3 comment="LiLaCoRh2 (GGA-PBEsol, optimized geometry)" vol_a3_per_fu=78 magmom_total_mub_per_cell=2.00 formation_enthalpy_0k_ev_per_atom=0.185 total_energy_ev_per_atom=-6.080 pbc="T T T"
Li 0.0000 0.0000 0.0000
Rh 1.6052 -0.4246 1.3912
Co -0.1230 -2.0265 -0.4767
La 0.0333 -2.7361 2.4994
Rh -1.4489 -0.2849 1.5849

---

5
Lattice="-2.1750 -1.5596 3.4393 4.1980 -0.9421 2.2275 -0.0537 4.4247 1.9726" Properties=species:S:1:pos:R:3 comment="IrCSCl2 (GGA-PBEsol, optimized geometry)" vol_a3_per_fu=102 magmom_total_mub_per_cell=1.42 raw_formation_energy_ev_per_atom=1.55 e_above_lowest_polymorph_mev_per_atom=0 total_energy_ev_per_atom=-4.020 pbc="T T T"
S -1.0875 -0.7798 1.7196
Cl 2.0990 -0.4711 1.1138
Cl -0.0268 2.2124 0.9863
Ir 0.0000 0.0000 0.0000
C 0.9847 0.9615 3.8197

---

5
Lattice="4.9334 0.0000 0.0000 0.0000 4.9334 0.0000 0.0000 0.0000 5.0792" Properties=species:S:1:pos:R:3 comment="TaCSe2Br (GGA-PBEsol, optimized geometry)" vol_a3_per_fu=124 magmom_total_mub_per_cell=1.92 raw_formation_energy_ev_per_atom=1.23 total_energy_ev_per_atom=-5.122 pbc="T T T"
Se 2.4667 0.0000 0.0000
Ta 0.0000 0.0000 0.0000
Br 0.0000 0.0000 2.5396
C 2.4667 2.4667 2.5396
Se 0.0000 2.4667 0.0000

---

4
Lattice="-2.0630 2.0449 1.1329 0.6295 -0.9533 2.8671 7.2048 4.8844 0.0421" Properties=species:S:1:pos:R:3 comment="TaTl2Os (GGA-PBEsol, optimized geometry)" vol_a3_per_fu=82 magmom_total_mub_per_cell=0.00 e_above_lowest_polymorph_mev_per_atom=0 formation_enthalpy_0k_ev_per_atom=0.280 total_energy_ev_per_atom=-7.227 pbc="T T T"
Tl 6.5972 5.0499 0.2305
Os 1.9066 4.5869 1.1065
Ta 4.2796 4.0679 2.0741
Tl 1.7322 1.6427 1.8270

---

8
Lattice="-1.2525 -2.1186 -2.5943 -0.0699 -2.7526 2.2816 -5.2888 3.9455 1.7958" Properties=species:S:1:pos:R:3 comment="GaH2Ir (GGA-PBEsol, optimized geometry)" vol_a3_per_fu=41 magmom_total_mub_per_cell=0.00 total_energy_ev_per_atom=-4.796 pbc="T T T"
Ir -3.0099 -0.6213 1.9605
Ga -3.6012 -0.3043 -0.4774
H -1.5050 -0.3107 0.9803
H -4.1843 0.2858 3.0190
Ir 0.0000 0.0000 0.0000
H -1.5399 -1.6869 2.1211
Ga -0.6612 -2.4356 -0.1563
H -4.8105 -0.7735 1.7218

---

4
Lattice="-2.2363 0.6707 -2.4233 -2.5772 -1.5368 1.9531 0.1207 4.0499 3.3458" Properties=species:S:1:pos:R:3 comment="Ta2CoSe (GGA-PBEsol, optimized geometry)" vol_a3_per_fu=60 magmom_total_mub_per_cell=0.00 raw_formation_energy_ev_per_atom=-0.22 total_energy_ev_per_atom=-9.389 pbc="T T T"
Se -2.7636 1.1358 0.5285
Ta -2.1039 2.8160 2.7210
Ta -0.1490 0.6551 0.3188
Co -1.7472 3.1008 0.1343

---

4
Lattice="-2.1107 -0.1906 2.1090 -0.1845 -3.3862 -2.6101 3.5792 -1.5250 3.4444" Properties=species:S:1:pos:R:3 comment="Mo2SeCl (GGA-PBEsol, optimized geometry)" vol_a3_per_fu=61 magmom_total_mub_per_cell=0.00 raw_formation_energy_ev_per_atom=0.23 e_above_lowest_polymorph_mev_per_atom=187 total_energy_ev_per_atom=-7.115 pbc="T T T"
Mo 0.2769 -2.1422 0.0835
Se 1.7896 -0.7625 1.7222
Mo 1.0070 -2.9597 2.8597
Cl -1.0554 -0.0953 1.0545

---

5
Lattice="4.7329 0.0000 0.0000 0.0000 4.7329 0.0000 0.0000 0.0000 4.7329" Properties=species:S:1:pos:R:3 comment="Sc3MnZn (GGA-PBEsol, optimized geometry)" vol_a3_per_fu=106 magmom_total_mub_per_cell=0.47 formation_enthalpy_0k_ev_per_atom=0.263 total_energy_ev_per_atom=-5.969 pbc="T T T"
Zn 2.3665 2.3665 2.3665
Mn 0.0000 0.0000 0.0000
Sc 0.0000 2.3665 0.0000
Sc 2.3665 0.0000 0.0000
Sc 0.0000 0.0000 2.3665

---

4
Lattice="-2.8867 1.4644 -1.6035 1.2430 -1.8684 -3.9439 -1.6771 -3.6093 3.7917" Properties=species:S:1:pos:R:3 comment="Zr2CuSb (GGA-PBEsol, optimized geometry)" vol_a3_per_fu=77 magmom_total_mub_per_cell=0.00 raw_formation_energy_ev_per_atom=-0.34 total_energy_ev_per_atom=-7.110 pbc="T T T"
Zr -3.3119 -3.9996 -1.7594
Zr -2.7811 -1.3080 -0.2568
Cu -0.8785 -0.2884 -2.7506
Sb -0.4921 -2.6325 -1.5183

---

4
Lattice="-1.4338 -4.0870 2.0540 2.8288 -2.2053 3.1801 -1.2003 -0.0578 4.6405" Properties=species:S:1:pos:R:3 comment="LiNiSb2 (GGA-PBEsol, optimized geometry)" vol_a3_per_fu=78 magmom_total_mub_per_cell=0.00 raw_formation_energy_ev_per_atom=0.21 e_above_lowest_polymorph_mev_per_atom=387 total_energy_ev_per_atom=-4.096 pbc="T T T"
Ni 0.0487 -1.5875 2.4686
Sb 0.1460 -4.7626 7.4059
Sb 0.0000 0.0000 0.0000
Li 0.0973 -3.1751 4.9373

---

4
Lattice="-1.0648 -2.3443 0.5581 3.5589 -1.9821 -1.5359 2.1860 0.6006 4.2902" Properties=species:S:1:pos:R:3 comment="Zn2TcOs (GGA-PBEsol, optimized geometry)" vol_a3_per_fu=55 magmom_total_mub_per_cell=0.00 e_above_lowest_polymorph_mev_per_atom=280 formation_enthalpy_0k_ev_per_atom=0.253 total_energy_ev_per_atom=-6.408 pbc="T T T"
Zn 0.8629 -1.2494 3.6119
Zn 0.2583 -0.4943 1.2365
Tc 2.8725 -0.6908 1.3771
Os 1.2470 -2.1632 -0.4889